Record 1
Compound: TbNd2Ge2
Source: Alexandria
Functional: PBE-GGA
Structure: relaxed

## Properties
**DOS at the Fermi energy**: 6.1 states/eV/cell
**Calculated density**: 7.289 g cm⁻³
**SG**: C2/m
**ΔH_f (0 K)**: -700 meV/atom
**Crystal system**: monoclinic
**E above lowest polymorph**: 0.072 eV/atom

abc: 4.449 6.647 10.043
angles: 78.01 77.20 70.45
Atoms (fractional coordinates):
Nd 0.679 0.729 0.912
Tb 0.779 0.080 0.362
Nd 0.321 0.271 0.088
Ge 0.884 0.671 0.561
Ge 0.980 0.149 0.892
Ge 0.020 0.851 0.108
Ge 0.116 0.329 0.439
Tb 0.221 0.920 0.638
Nd 0.484 0.344 0.687
Nd 0.516 0.656 0.313

---

Record 2
Compound: TbNdGe2
Source: Alexandria
Functional: PBE-GGA
Structure: relaxed

## Properties
**DOS at the Fermi energy**: 4.9 states/eV/cell
**Calculated density**: 7.675 g cm⁻³
**SG**: Pmc2_1
**ΔH_f (0 K)**: -852 meV/atom
**Crystal system**: orthorhombic
**E above lowest polymorph**: 0.002 eV/atom

abc: 4.033 5.906 8.148
angles: 90.00 90.00 90.00
Atoms (fractional coordinates):
Ge 0.000 0.608 0.540
Ge 0.500 0.112 0.961
Nd 0.000 0.868 0.181
Ge 0.500 0.888 0.461
Nd 0.000 0.132 0.681
Tb 0.500 0.369 0.318
Tb 0.500 0.631 0.818
Ge 0.000 0.392 0.040

---

Record 3
Compound: Tb2NdGe2
Source: Alexandria
Functional: PBE-GGA
Structure: relaxed

## Properties
**DOS at the Fermi energy**: 10.5 states/eV/cell
**Calculated density**: 7.926 g cm⁻³
**SG**: P4/mbm
**ΔH_f (0 K)**: -722 meV/atom
**Crystal system**: tetragonal
**E above lowest polymorph**: 0.000 eV/atom

abc: 4.142 7.838 7.838
angles: 90.00 90.00 90.00
Atoms (fractional coordinates):
Tb 0.000 0.672 0.328
Nd 0.500 0.500 0.000
Nd 0.500 0.000 0.500
Tb 0.000 0.828 0.828
Ge 0.500 0.124 0.876
Ge 0.500 0.376 0.376
Ge 0.500 0.876 0.124
Ge 0.500 0.624 0.624
Tb 0.000 0.328 0.672
Tb 0.000 0.172 0.172

---

Record 4
Compound: TbNdGeTe
Source: Alexandria
Functional: PBE-GGA
Structure: relaxed

## Properties
**DOS at the Fermi energy**: 0.7 states/eV/cell
**Calculated density**: 7.036 g cm⁻³
**SG**: R3m
**Crystal system**: trigonal
**ΔE_f (raw)**: -1129 meV/atom

abc: 4.303 4.303 7.814
angles: 90.00 105.98 120.00
Atoms (fractional coordinates):
Te 0.973 0.385 0.372
Tb 0.491 0.143 0.649
Nd 0.113 0.955 0.083
Ge 0.301 0.548 0.865

---

Record 5
Compound: TbNdTlGe
Source: Alexandria
Functional: PBE-GGA
Structure: relaxed

## Properties
**DOS at the Fermi energy**: 2.6 states/eV/cell
**Calculated density**: 9.113 g cm⁻³
**SG**: F-43m
**ΔH_f (0 K)**: -443 meV/atom
**Crystal system**: cubic

abc: 5.308 5.308 5.308
angles: 60.00 60.00 60.00
Atoms (fractional coordinates):
Tb 0.000 0.000 0.000
Ge 0.250 0.250 0.250
Tl 0.750 0.750 0.750
Nd 0.500 0.500 0.500

---

Record 6
Compound: TbNdZnGe
Source: Alexandria
Functional: PBE-GGA
Structure: relaxed

## Properties
**DOS at the Fermi energy**: 2.7 states/eV/cell
**Calculated density**: 7.727 g cm⁻³
**SG**: F-43m
**ΔH_f (0 K)**: -522 meV/atom
**Crystal system**: cubic
**E above lowest polymorph**: 0.073 eV/atom

abc: 5.118 5.118 5.118
angles: 60.00 60.00 60.00
Atoms (fractional coordinates):
Nd 0.500 0.500 0.500
Zn 0.750 0.750 0.750
Ge 0.250 0.250 0.250
Tb 0.000 0.000 0.000

---

Record 7
Compound: TbNdZnGe
Source: Alexandria
Functional: PBE-GGA
Structure: relaxed

## Properties
**DOS at the Fermi energy**: 4.2 states/eV/cell
**Calculated density**: 7.394 g cm⁻³
**SG**: Amm2
**ΔH_f (0 K)**: -595 meV/atom
**Crystal system**: orthorhombic
**E above lowest polymorph**: 0.000 eV/atom

abc: 4.271 4.146 5.989
angles: 90.00 110.89 90.00
Each line ends with the local moment (μB).
Atoms (fractional coordinates):
Zn 0.570 0.500 0.140  0.01
Tb 0.862 0.500 0.723  0.08
Nd 0.144 0.000 0.289  0.07
Ge 0.424 0.000 0.848  0.00

---

Record 8
Compound: NdTcGe2
Source: Alexandria
Functional: PBE-GGA
Structure: relaxed

## Properties
**DOS at the Fermi energy**: 3.2 states/eV/cell
**Calculated density**: 8.572 g cm⁻³
**SG**: P4/mmm
**ΔH_f (0 K)**: -326 meV/atom
**Crystal system**: tetragonal
**E above lowest polymorph**: 0.202 eV/atom

abc: 3.245 3.245 7.127
angles: 90.00 90.00 90.00
Atoms (fractional coordinates):
Ge 0.000 0.000 0.806
Tc 0.500 0.500 0.000
Ge 0.000 0.000 0.194
Nd 0.500 0.500 0.500